Entry 1:
The following is a PBE calculation of a relaxed structure of NaLiZnBr4, from Alexandria. Values from VASP.

Cell and atoms, written as Quantum ESPRESSO input:
```
&SYSTEM
  ibrav = 0, nat = 14, ntyp = 4
/
ATOMIC_SPECIES
Br 79.90 Br.upf
Na 22.99 Na.upf
Li 6.94 Li.upf
Zn 65.41 Zn.upf
ATOMIC_POSITIONS angstrom
Br 8.2218 2.3456 1.7639
Br 10.2015 3.3872 4.9459
Br 6.2420 5.8610 1.8058
Br 10.2015 5.8610 1.8058
Br 8.2218 6.9026 4.9878
Br 12.3327 7.0188 5.0726
Br 4.1109 2.2294 1.6791
Br 6.2421 3.3872 4.9459
Na 0.0000 0.0000 0.0000
Na 4.1109 4.6241 3.3759
Li 2.0554 1.1343 3.3011
Li 6.1663 1.1343 3.3011
Zn 8.2218 4.6771 0.9416
Zn 8.2218 4.5711 5.8102
CELL_PARAMETERS angstrom
8.2218 0.0000 0.0000
4.1109 6.9796 0.1495
4.1109 2.2687 6.6023
```

**Size of the total moment**: 0.0 μB/f.u.
**VASP energy**: -39.58 eV per cell
**SG**: No. 74

***

Entry 2:
The following is a PBE calculation of a relaxed structure of YNi2P, from Alexandria. Values from VASP.

Cell and atoms, written as Quantum ESPRESSO input:
```
&SYSTEM
  ibrav = 0, nat = 4, ntyp = 3
/
ATOMIC_SPECIES
Y 88.91 Y.upf
Ni 58.69 Ni.upf
P 30.97 P.upf
ATOMIC_POSITIONS angstrom
Y 0.0000 0.0000 1.9435
Ni 0.0000 1.9811 0.0000
Ni 1.9811 0.0000 0.0000
P 1.9811 1.9811 1.9435
CELL_PARAMETERS angstrom
3.9621 0.0000 0.0000
0.0000 3.9621 0.0000
0.0000 0.0000 3.8871
```

**Calculated formation energy**: -0.36 eV per atom
**Size of the total moment**: 0.0 μB/f.u.
**SG**: No. 123

***

Entry 3:
The following is a PBE calculation of a relaxed structure of ZrIr2Se, from Alexandria. Values from VASP.

Cell and atoms, written as Quantum ESPRESSO input:
```
&SYSTEM
  ibrav = 0, nat = 16, ntyp = 3
/
ATOMIC_SPECIES
Zr 91.22 Zr.upf
Ir 192.22 Ir.upf
Se 78.96 Se.upf
ATOMIC_POSITIONS angstrom
Zr 8.0402 -3.8984 3.2700
Zr 2.8921 -2.6640 0.6860
Zr 0.7022 -2.3601 3.5365
Zr 9.8745 -0.8386 2.7348
Ir 6.9120 -1.2905 2.9364
Ir 6.1022 -2.7908 4.9916
Ir -0.8802 -4.6162 2.9427
Ir -0.0704 -3.1159 0.8875
Ir 8.3764 -2.3067 1.0092
Ir 5.2989 -3.6652 2.5102
Ir 1.0384 -0.7684 1.2758
Ir 12.2813 -1.8399 4.5591
Se 2.7843 -4.2945 3.0382
Se 9.7667 -2.4691 5.0870
Se 11.9025 -2.7856 2.2466
Se 4.5645 -1.2473 2.5131
CELL_PARAMETERS angstrom
-1.9580 -3.0423 4.1190
0.3556 -3.3637 -2.3154
14.3204 0.2871 1.7823
```

**Size of the total moment**: 0.0 μB/f.u.
**VASP energy**: -127.06 eV per cell
**SG**: No. 8

***

Entry 4:
The following is a PBE calculation of a relaxed structure of SrBN3, from Alexandria. Values from VASP.

Cell and atoms, written as Quantum ESPRESSO input:
```
&SYSTEM
  ibrav = 0, nat = 5, ntyp = 3
/
ATOMIC_SPECIES
Sr 87.62 Sr.upf
B 10.81 B.upf
N 14.01 N.upf
ATOMIC_POSITIONS angstrom
Sr -2.5864 1.5424 0.8544
B 0.0000 0.0000 0.0000
N -0.5523 1.5752 -0.6928
N -0.3491 0.6099 1.6651
N -1.6850 -0.6427 -0.1179
CELL_PARAMETERS angstrom
-1.1046 3.1504 -1.3855
-3.3701 -1.2853 -0.2358
-0.6982 1.2197 3.3301
```

**Size of the total moment**: 0.0 μB/f.u.
**VASP energy**: -28.64 eV per cell
**SG**: No. 221

***

Entry 5:
The following is a PBE calculation of a relaxed structure of Li3ZnAg3, from Alexandria. Values from VASP.

Cell and atoms, written as Quantum ESPRESSO input:
```
&SYSTEM
  ibrav = 0, nat = 14, ntyp = 3
/
ATOMIC_SPECIES
Li 6.94 Li.upf
Ag 107.87 Ag.upf
Zn 65.41 Zn.upf
ATOMIC_POSITIONS angstrom
Li 4.8622 4.8511 3.0296
Li 1.6580 1.6542 3.0311
Li 4.4805 2.0287 -0.0009
Li 2.0389 4.4759 -0.0009
Li 1.8255 4.6905 3.0303
Li 4.6947 1.8148 3.0303
Ag 3.3473 6.4254 4.5300
Ag 6.4330 3.3326 4.5300
Ag 6.5198 6.5049 4.5521
Ag 3.1729 0.0799 1.5307
Ag 0.0872 3.1727 1.5307
Ag 0.0004 0.0004 1.5086
Zn 4.8908 4.8797 -0.0010
Zn 1.6294 1.6256 6.0616
CELL_PARAMETERS angstrom
6.3458 0.1591 -0.0009
0.1736 6.3454 -0.0009
0.0008 0.0008 6.0624
```

**Calculated formation energy**: -0.14 eV per atom
**Size of the total moment**: 0.0 μB/f.u.
**SG**: No. 65
**Distance to the lowest polymorph of the same formula**: 5 meV per atom

***

Entry 6:
The following is a PBE calculation of a relaxed structure of CsU2S7, from Alexandria. Values from VASP.

Cell and atoms, written as Quantum ESPRESSO input:
```
&SYSTEM
  ibrav = 0, nat = 10, ntyp = 3
/
ATOMIC_SPECIES
S 32.06 S.upf
Cs 132.91 Cs.upf
U 238.03 U.upf
ATOMIC_POSITIONS angstrom
S -2.1679 4.8673 4.7456
S -4.7656 2.5873 4.6374
S -3.2266 -0.5517 3.5316
S -0.6994 3.4013 0.3778
S 0.7955 2.9785 3.6992
S -3.2971 1.1214 0.2696
S -2.7325 2.9943 2.5076
Cs 0.0000 0.0000 0.0000
U -4.7134 1.2557 2.4251
U -0.7516 4.7330 2.5901
CELL_PARAMETERS angstrom
-3.0339 3.5618 -2.2155
-6.0966 -3.0706 3.4121
3.6655 5.4975 3.8187
```

**Size of the total moment**: 0.0 μB/f.u.
**VASP energy**: -62.48 eV per cell
**SG**: No. 65